Entry from the Alexandria database: a relaxed LiCo2Rh crystal (GGA-PBE).

Properties
* crystal system: tetragonal
* SG: I-42d, No. 122
* Fermi-level density of states: 19.62 states/eV per cell
* ΔE_f: 181.3 kJ/mol of formula units
* uncorrected energy: -86.39 eV/cell

```
data_LiCo2Rh
_cell_length_a 6.6374
_cell_length_b 6.6374
_cell_length_c 4.8079
_cell_angle_alpha 90.00
_cell_angle_beta 90.00
_cell_angle_gamma 90.00
_symmetry_space_group_name_H-M 'P 1'
_symmetry_Int_Tables_number 1
_symmetry_space_group_name_Hall 'P 1'
loop_
_atom_site_label
_atom_site_type_symbol
_atom_site_fract_x
_atom_site_fract_y
_atom_site_fract_z
Li1 Li 0.0000 0.0000 0.0000
Li2 Li 0.0000 0.5000 0.2500
Li3 Li 0.5000 0.0000 0.7500
Li4 Li 0.5000 0.5000 0.5000
Co1 Co 0.2458 0.2500 0.6250
Co2 Co 0.2500 0.7458 0.8750
Co3 Co 0.2500 0.7542 0.3750
Co4 Co 0.2542 0.2500 0.1250
Co5 Co 0.7458 0.7500 0.1250
Co6 Co 0.7500 0.2458 0.3750
Co7 Co 0.7500 0.2542 0.8750
Co8 Co 0.7542 0.7500 0.6250
Rh1 Rh 0.0000 0.0000 0.5000
Rh2 Rh 0.0000 0.5000 0.7500
Rh3 Rh 0.5000 0.0000 0.2500
Rh4 Rh 0.5000 0.5000 0.0000
```

Entry from the Alexandria database: a relaxed LiCo2Rh crystal (GGA-PBE).

Properties
* crystal system: orthorhombic
* SG: Pmm2, No. 25
* Fermi-level density of states: 3.97 states/eV per cell
* ΔE_f: 28.3 kJ/mol of formula units
* uncorrected energy: -23.18 eV/cell

```
data_LiCo2Rh
_cell_length_a 2.5826
_cell_length_b 4.1586
_cell_length_c 4.5236
_cell_angle_alpha 90.00
_cell_angle_beta 90.00
_cell_angle_gamma 90.00
_symmetry_space_group_name_H-M 'P 1'
_symmetry_Int_Tables_number 1
_symmetry_space_group_name_Hall 'P 1'
loop_
_atom_site_label
_atom_site_type_symbol
_atom_site_fract_x
_atom_site_fract_y
_atom_site_fract_z
Li1 Li 0.0000 0.0000 0.0000
Co1 Co 0.5000 0.0000 0.4866
Co2 Co 0.5000 0.5000 0.1859
Rh1 Rh 0.0000 0.5000 0.6858
```

Entry from the Alexandria database: a relaxed LiCo2Rh crystal (GGA-PBE).

Properties
* crystal system: orthorhombic
* SG: Cmm2, No. 35
* Fermi-level density of states: 8.41 states/eV per cell
* ΔE_f: 46.7 kJ/mol of formula units
* uncorrected energy: -45.99 eV/cell

```
data_LiCo2Rh
_cell_length_a 2.7077
_cell_length_b 4.3501
_cell_length_c 8.5674
_cell_angle_alpha 90.00
_cell_angle_beta 90.00
_cell_angle_gamma 90.00
_symmetry_space_group_name_H-M 'P 1'
_symmetry_Int_Tables_number 1
_symmetry_space_group_name_Hall 'P 1'
loop_
_atom_site_label
_atom_site_type_symbol
_atom_site_fract_x
_atom_site_fract_y
_atom_site_fract_z
Li1 Li 0.0000 0.0000 0.0000
Li2 Li 0.5000 0.5000 0.0000
Co1 Co 0.0000 0.0000 0.5131
Co2 Co 0.0000 0.5000 0.7421
Co3 Co 0.5000 0.0000 0.7421
Co4 Co 0.5000 0.5000 0.5131
Rh1 Rh 0.0000 0.5000 0.2579
Rh2 Rh 0.5000 0.0000 0.2579
```

Entry from the Alexandria database: a relaxed LiCoRh2 crystal (GGA-PBE).

Properties
* crystal system: orthorhombic
* energy above the lowest structure with this stoichiometry: 210.0 meV per atom
* SG: Cmm2, No. 35
* Fermi-level density of states: 12.65 states/eV per cell
* ΔE_f: 66.9 kJ/mol of formula units
* uncorrected energy: -46.06 eV/cell

```
data_LiCoRh2
_cell_length_a 2.7161
_cell_length_b 4.5003
_cell_length_c 8.8856
_cell_angle_alpha 90.00
_cell_angle_beta 90.00
_cell_angle_gamma 90.00
_symmetry_space_group_name_H-M 'P 1'
_symmetry_Int_Tables_number 1
_symmetry_space_group_name_Hall 'P 1'
loop_
_atom_site_label
_atom_site_type_symbol
_atom_site_fract_x
_atom_site_fract_y
_atom_site_fract_z
Li1 Li 0.0000 0.0000 0.0000
Li2 Li 0.5000 0.5000 0.0000
Co1 Co 0.0000 0.5000 0.2499
Co2 Co 0.5000 0.0000 0.2499
Rh1 Rh 0.0000 0.0000 0.4881
Rh2 Rh 0.0000 0.5000 0.7535
Rh3 Rh 0.5000 0.0000 0.7535
Rh4 Rh 0.5000 0.5000 0.4881
```

Entry from the Alexandria database: a relaxed LiCoRh crystal (GGA-PBE).

Properties
* crystal system: orthorhombic
* energy above the lowest structure with this stoichiometry: 68.8 meV per atom
* SG: Fmm2, No. 42
* Fermi-level density of states: 11.03 states/eV per cell
* ΔE_f: 33.7 kJ/mol of formula units
* uncorrected energy: -64.09 eV/cell

```
data_LiCoRh
_cell_length_a 2.7412
_cell_length_b 4.4212
_cell_length_c 13.0876
_cell_angle_alpha 90.00
_cell_angle_beta 90.00
_cell_angle_gamma 90.00
_symmetry_space_group_name_H-M 'P 1'
_symmetry_Int_Tables_number 1
_symmetry_space_group_name_Hall 'P 1'
loop_
_atom_site_label
_atom_site_type_symbol
_atom_site_fract_x
_atom_site_fract_y
_atom_site_fract_z
Li1 Li 0.0000 0.0000 0.0000
Li2 Li 0.0000 0.5000 0.5000
Li3 Li 0.5000 0.0000 0.5000
Li4 Li 0.5000 0.5000 0.0000
Co1 Co 0.0000 0.0000 0.6691
Co2 Co 0.0000 0.5000 0.1691
Co3 Co 0.5000 0.0000 0.1691
Co4 Co 0.5000 0.5000 0.6691
Rh1 Rh 0.0000 0.0000 0.3303
Rh2 Rh 0.0000 0.5000 0.8303
Rh3 Rh 0.5000 0.0000 0.8303
Rh4 Rh 0.5000 0.5000 0.3303
```

Entry from the Alexandria database: a relaxed LiCoRh2 crystal (GGA-PBE).

Properties
* crystal system: tetragonal
* energy above the lowest structure with this stoichiometry: 49.0 meV per atom
* SG: P4/mmm, No. 123
* Fermi-level density of states: 5.84 states/eV per cell
* ΔE_f: 4.8 kJ/mol of formula units
* uncorrected energy: -23.67 eV/cell

```
data_LiCoRh2
_cell_length_a 4.1722
_cell_length_b 4.1722
_cell_length_c 2.8751
_cell_angle_alpha 90.00
_cell_angle_beta 90.00
_cell_angle_gamma 90.00
_symmetry_space_group_name_H-M 'P 1'
_symmetry_Int_Tables_number 1
_symmetry_space_group_name_Hall 'P 1'
loop_
_atom_site_label
_atom_site_type_symbol
_atom_site_fract_x
_atom_site_fract_y
_atom_site_fract_z
Li1 Li 0.0000 0.0000 0.0000
Co1 Co 0.5000 0.5000 0.0000
Rh1 Rh 0.0000 0.5000 0.5000
Rh2 Rh 0.5000 0.0000 0.5000
```

- Which value of Fermi-level density of states does entry 4 give?
  12.65 states/eV per cell

Copy entry 4 word for word.
Entry from the Alexandria database: a relaxed LiCoRh2 crystal (GGA-PBE).

Properties
* crystal system: orthorhombic
* energy above the lowest structure with this stoichiometry: 210.0 meV per atom
* SG: Cmm2, No. 35
* Fermi-level density of states: 12.65 states/eV per cell
* ΔE_f: 66.9 kJ/mol of formula units
* uncorrected energy: -46.06 eV/cell

```
data_LiCoRh2
_cell_length_a 2.7161
_cell_length_b 4.5003
_cell_length_c 8.8856
_cell_angle_alpha 90.00
_cell_angle_beta 90.00
_cell_angle_gamma 90.00
_symmetry_space_group_name_H-M 'P 1'
_symmetry_Int_Tables_number 1
_symmetry_space_group_name_Hall 'P 1'
loop_
_atom_site_label
_atom_site_type_symbol
_atom_site_fract_x
_atom_site_fract_y
_atom_site_fract_z
Li1 Li 0.0000 0.0000 0.0000
Li2 Li 0.5000 0.5000 0.0000
Co1 Co 0.0000 0.5000 0.2499
Co2 Co 0.5000 0.0000 0.2499
Rh1 Rh 0.0000 0.0000 0.4881
Rh2 Rh 0.0000 0.5000 0.7535
Rh3 Rh 0.5000 0.0000 0.7535
Rh4 Rh 0.5000 0.5000 0.4881
```

- Look up the ΔE_f of the sixth one.
  4.8 kJ/mol of formula units

- The lowest ΔE_f belongs to which entry?
  number 6